## Ca2BiMoO6 (PBE with a Hubbard U)

Data for an optimized crystal structure of Ca2BiMoO6.

Cell: 5.698 5.698 5.200 Å, 90.00 90.00 90.00°
Element x y z (fractional)
1 Ca 0.000 0.500 0.000
2 Ca 0.500 0.000 0.000
3 Bi 0.000 0.000 0.603
4 Mo 0.500 0.500 0.631
5 O 0.000 0.000 0.192
6 O 0.270 0.270 0.770
7 O 0.270 0.730 0.770
8 O 0.500 0.500 0.286
9 O 0.730 0.270 0.770
10 O 0.730 0.730 0.770

## Properties
E, eV/atom: -6.49